Below is a relaxed YMnCr2Se crystal, with properties calculated at the GGA-PBEsol level.

Cell lengths 4.410, 4.410, 4.622 Å; angles 90.00, 90.00, 90.00 degrees
Fractional positions:
Se: 0.000 0.000 0.500
Mn: 0.000 0.000 0.000
Cr: 0.000 0.500 0.000
Cr: 0.500 0.000 0.000
Y: 0.500 0.500 0.500

Properties
- Formation energy without anion corrections: 220 kJ/mol of formula units
- VASP energy: -7.73 eV per atom


Below is a relaxed BeRe2W crystal, with properties calculated at the GGA-PBEsol level.

Cell lengths 3.072, 3.072, 5.706 Å; angles 90.00, 90.00, 90.00 degrees
Fractional positions:
Re: 0.000 0.000 0.965
Re: 0.500 0.500 0.254
W: 0.000 0.000 0.521
Be: 0.500 0.500 0.760

Properties
- VASP energy: -10.97 eV per atom


Below is a relaxed MnAlIn2 crystal, with properties calculated at the GGA-PBEsol level.

Cell lengths 3.104, 5.071, 5.071 Å; angles 110.94, 90.00, 90.00 degrees
Fractional positions:
Mn: 0.500 0.000 0.000
Al: 0.500 0.500 0.500
In: 0.000 0.000 0.500
In: 0.000 0.500 0.000

Properties
- VASP energy: -4.71 eV per atom